[1]
An optimized crystal structure of RbCaZn2Ir, computed with PBE.

a b c (Å): 5.094 5.094 5.301
angles (deg): 90.00 90.00 90.00
Element x y z (fractional)
Ca: 0.000 0.000 0.500
Zn: 0.500 0.000 0.000
Zn: 0.000 0.500 0.000
Rb: 0.500 0.500 0.500
Ir: 0.000 0.000 0.000

## Properties
VASP energy in eV/cell: -14.71
Formation enthalpy at 0 K in eV per atom: -0.066
Crystal system: tetragonal
Total moment in Bohr magnetons per cell: 0.000

[2]
An optimized crystal structure of Mn3GeRh, computed with PBE.

a b c (Å): 4.769 4.769 4.769
angles (deg): 90.00 90.00 90.00
Site moments in Bohr magnetons follow the coordinates.
Element x y z (fractional)
Rh: 0.000 0.000 0.000  0.52
Mn: 0.500 0.000 0.000  4.11
Mn: 0.000 0.500 0.000  3.99
Mn: 0.000 0.000 0.500  4.05
Ge: 0.500 0.500 0.500  -0.20

## Properties
VASP energy in eV/cell: -34.99
Formation enthalpy at 0 K in eV per atom: 0.898
Crystal system: cubic
Total moment in Bohr magnetons per cell: 13.087

[3]
An optimized crystal structure of NaBeCl3, computed with PBE.

a b c (Å): 3.573 6.407 11.578
angles (deg): 106.06 90.00 90.00
Element x y z (fractional)
Be: 0.250 0.777 0.248
Be: 0.750 0.529 0.752
Cl: 0.250 0.079 0.239
Cl: 0.750 0.316 0.585
Cl: 0.750 0.619 0.164
Cl: 0.250 0.455 0.836
Cl: 0.750 0.840 0.761
Cl: 0.250 0.731 0.415
Na: 0.250 0.029 0.645
Na: 0.750 0.384 0.355

## Properties
VASP energy in eV/cell: -36.61
Offset from the most stable computed form in meV/atom: 39.8
Crystal system: orthorhombic
Total moment in Bohr magnetons per cell: 0.000

[4]
An optimized crystal structure of ScPaGaAu, computed with PBE.

a b c (Å): 4.980 4.980 4.980
angles (deg): 60.00 60.00 60.00
Site moments in Bohr magnetons follow the coordinates.
Element x y z (fractional)
Ga: 0.250 0.250 0.250  0.00
Pa: 0.500 0.500 0.500  0.73
Sc: 0.000 0.000 0.000  0.33
Au: 0.750 0.750 0.750  0.05

## Properties
VASP energy in eV/cell: -23.48
Formation enthalpy at 0 K in eV per atom: -0.338
Crystal system: cubic
Total moment in Bohr magnetons per cell: 1.461

[5]
An optimized crystal structure of Pr2Ni4Sb3Rh, computed with PBE.

a b c (Å): 4.296 4.296 10.416
angles (deg): 90.00 90.00 90.00
Element x y z (fractional)
Sb: 0.000 0.000 0.500
Sb: 0.500 0.000 0.871
Sb: 0.000 0.500 0.129
Ni: 0.000 0.500 0.369
Ni: 0.500 0.000 0.631
Ni: 0.000 0.000 0.000
Ni: 0.500 0.500 0.000
Pr: 0.000 0.500 0.746
Pr: 0.500 0.000 0.254
Rh: 0.500 0.500 0.500

## Properties
VASP energy in eV/cell: -58.25
Crystal system: tetragonal
Total moment in Bohr magnetons per cell: 0.000

[6]
An optimized crystal structure of Na3La2BiS6, computed with PBE.

a b c (Å): 7.231 7.231 7.128
angles (deg): 99.69 99.69 120.01
Element x y z (fractional)
S: 0.408 0.079 0.236
S: 0.252 0.252 0.766
S: 0.079 0.408 0.236
S: 0.748 0.748 0.234
S: 0.921 0.592 0.764
S: 0.592 0.921 0.764
Na: 0.162 0.838 0.500
Na: 0.500 0.500 0.500
Na: 0.838 0.162 0.500
La: 0.667 0.333 0.000
La: 0.333 0.667 0.000
Bi: 0.000 0.000 0.000

## Properties
VASP energy in eV/cell: -60.35
Crystal system: monoclinic
Total moment in Bohr magnetons per cell: 0.000

[7]
An optimized crystal structure of HgPb5, computed with PBE.

a b c (Å): 6.466 6.466 5.780
angles (deg): 90.00 90.00 120.00
Element x y z (fractional)
Pb: 0.333 0.667 0.000
Pb: 0.500 0.000 0.500
Pb: 0.500 0.500 0.500
Pb: 0.000 0.500 0.500
Pb: 0.667 0.333 0.000
Hg: 0.000 0.000 0.000

## Properties
VASP energy in eV/cell: -17.93
Offset from the most stable computed form in meV/atom: 150.5
Formation enthalpy at 0 K in eV per atom: 0.152
Crystal system: hexagonal
Total moment in Bohr magnetons per cell: 0.000

[8]
An optimized crystal structure of Cd5In4Hg3, computed with PBE.

a b c (Å): 6.002 7.547 8.413
angles (deg): 92.25 69.10 66.57
Element x y z (fractional)
In: 0.172 0.820 0.835
In: 0.828 0.180 0.165
In: 0.973 0.274 0.781
In: 0.027 0.726 0.219
Cd: 0.634 0.619 0.112
Cd: 0.500 0.500 0.500
Cd: 0.663 0.850 0.825
Cd: 0.337 0.150 0.175
Cd: 0.366 0.381 0.888
Hg: 0.691 0.076 0.543
Hg: 0.000 0.500 0.500
Hg: 0.309 0.924 0.457

## Properties
VASP energy in eV/cell: -15.77
Offset from the most stable computed form in meV/atom: 28.4
Formation enthalpy at 0 K in eV per atom: 0.055
Crystal system: monoclinic
Total moment in Bohr magnetons per cell: 0.000

[9]
An optimized crystal structure of Tb2PmCd2In2, computed with PBE.

a b c (Å): 4.962 4.962 9.491
angles (deg): 74.85 74.85 60.00
Element x y z (fractional)
In: 0.259 0.259 0.224
In: 0.741 0.741 0.776
Tb: 0.871 0.871 0.386
Tb: 0.129 0.129 0.614
Cd: 0.401 0.401 0.797
Cd: 0.599 0.599 0.203
Pm: 0.000 0.000 0.000

## Properties
VASP energy in eV/cell: -23.24
Formation enthalpy at 0 K in eV per atom: -0.274
Crystal system: trigonal
Total moment in Bohr magnetons per cell: 0.000

[10]
An optimized crystal structure of AsC3, computed with PBE.

a b c (Å): 3.780 4.520 4.701
angles (deg): 80.94 72.05 65.31
Element x y z (fractional)
C: 0.899 0.091 0.016
C: 0.541 0.092 0.016
C: 0.146 0.255 0.997
As: 0.847 0.680 0.221

## Properties
VASP energy in eV/cell: -28.50
Offset from the most stable computed form in meV/atom: 192.2
Formation enthalpy at 0 K in eV per atom: 0.954
Crystal system: triclinic
Total moment in Bohr magnetons per cell: 0.000

[11]
An optimized crystal structure of MgAlO, computed with PBE.

a b c (Å): 2.864 2.921 10.866
angles (deg): 90.00 90.00 119.37
Element x y z (fractional)
Mg: 0.729 0.458 0.274
Mg: 0.729 0.458 0.726
O: 0.156 0.312 0.894
O: 0.156 0.312 0.106
Al: 0.408 0.817 0.500
Al: 0.488 0.975 0.000

## Properties
VASP energy in eV/cell: -28.28
Offset from the most stable computed form in meV/atom: 252.1
Crystal system: orthorhombic
Total moment in Bohr magnetons per cell: 0.000

[12]
An optimized crystal structure of Dy3Zr5S12, computed with PBE.

a b c (Å): 13.459 13.459 13.459
angles (deg): 109.47 109.47 109.47
Site moments in Bohr magnetons follow the coordinates.
Element x y z (fractional)
Zr: 0.875 0.250 0.625  0.14
Zr: 0.000 0.000 0.500  0.34
Zr: 0.375 0.125 0.750  0.14
Zr: 0.500 0.000 0.000  0.34
Zr: 0.250 0.375 0.625  0.14
Zr: 0.500 0.000 0.500  0.34
Zr: 0.500 0.500 0.500  0.34
Zr: 0.750 0.625 0.375  0.14
Zr: 0.000 0.500 0.500  0.34
Zr: 0.000 0.500 0.000  0.34
Zr: 0.375 0.250 0.125  0.14
Zr: 0.625 0.875 0.250  0.14
Zr: 0.250 0.875 0.125  0.14
Zr: 0.000 0.000 0.000  0.34
Zr: 0.125 0.375 0.250  0.14
Zr: 0.750 0.125 0.875  0.14
Zr: 0.625 0.750 0.875  0.14
Zr: 0.500 0.500 0.000  0.34
Zr: 0.125 0.750 0.375  0.14
Zr: 0.875 0.625 0.750  0.14
S: 0.956 0.583 0.176  -0.01
S: 0.324 0.780 0.407  -0.01
S: 0.176 0.093 0.720  -0.01
S: 0.044 0.627 0.720  -0.01
S: 0.720 0.127 0.044  -0.01
S: 0.917 0.093 0.873  -0.01
S: 0.456 0.780 0.873  -0.01
S: 0.593 0.720 0.676  -0.01
S: 0.917 0.824 0.544  -0.01
S: 0.544 0.324 0.917  -0.01
S: 0.780 0.324 0.907  -0.01
S: 0.417 0.373 0.593  -0.01
S: 0.873 0.280 0.456  -0.01
S: 0.456 0.676 0.083  -0.01
S: 0.593 0.873 0.417  -0.01
S: 0.407 0.127 0.583  -0.01
S: 0.373 0.956 0.780  -0.01
S: 0.407 0.280 0.324  -0.01
S: 0.824 0.907 0.280  -0.01
S: 0.083 0.907 0.127  -0.01
S: 0.583 0.956 0.676  -0.01
S: 0.956 0.373 0.280  -0.01
S: 0.780 0.456 0.373  -0.01
S: 0.220 0.676 0.093  -0.01
S: 0.127 0.720 0.544  -0.01
S: 0.544 0.220 0.127  -0.01
S: 0.373 0.417 0.093  -0.01
S: 0.676 0.456 0.583  -0.01
S: 0.676 0.220 0.593  -0.01
S: 0.583 0.627 0.407  -0.01
S: 0.220 0.544 0.627  -0.01
S: 0.627 0.044 0.220  -0.01
S: 0.127 0.407 0.083  -0.01
S: 0.720 0.593 0.176  -0.01
S: 0.093 0.176 0.220  -0.01
S: 0.873 0.593 0.917  -0.01
S: 0.627 0.583 0.907  -0.01
S: 0.907 0.083 0.627  -0.01
S: 0.280 0.873 0.956  -0.01
S: 0.176 0.083 0.956  -0.01
S: 0.083 0.176 0.456  -0.01
S: 0.093 0.917 0.373  -0.01
S: 0.044 0.417 0.824  -0.01
S: 0.824 0.917 0.044  -0.01
S: 0.417 0.044 0.324  -0.01
S: 0.280 0.407 0.824  -0.01
S: 0.324 0.544 0.417  -0.01
S: 0.907 0.824 0.780  -0.01
Dy: 0.125 0.250 0.875  0.04
Dy: 0.625 0.250 0.375  0.04
Dy: 0.375 0.625 0.250  0.04
Dy: 0.750 0.875 0.625  0.04
Dy: 0.250 0.125 0.375  0.04
Dy: 0.625 0.375 0.750  0.04
Dy: 0.750 0.375 0.125  0.04
Dy: 0.375 0.750 0.625  0.04
Dy: 0.125 0.875 0.750  0.04
Dy: 0.875 0.750 0.125  0.04
Dy: 0.250 0.625 0.875  0.04
Dy: 0.875 0.125 0.250  0.04

## Properties
VASP energy in eV/cell: -541.80
Crystal system: cubic
Total moment in Bohr magnetons per cell: 7.348

Question: total moment of number 2 (Mn3GeRh)?
Answer: 13.087 Bohr magnetons per cell

Question: Which value of total moment does entry 1 give?
Answer: 0.000 Bohr magnetons per cell